[1]
Crystalline SmDy2Pu at its relaxed geometry. Source: the Alexandria database, functional PBE-GGA.

Values from the calculation:
Calculated total energy = -27.68 eV for the cell shown
Crystal system = tetragonal
E above lowest polymorph = 42 meV/atom

Unit cell a=4.989 b=4.987 c=4.987 alpha=90.00 beta=90.00 gamma=90.00
Last column: magnetic moment on the atom in μB.
Sites, in units of the cell vectors:
Dy 0.000 0.000 0.500  0.11
Dy 0.000 0.500 0.000  0.11
Sm 0.500 0.500 0.500  0.04
Pu 0.500 0.000 0.000  5.48

***

[2]
Crystalline Sm12Dy6Pu at its relaxed geometry. Source: the Alexandria database, functional PBE-GGA.

Values from the calculation:
Calculated total energy = -97.92 eV for the cell shown
Crystal system = trigonal

Unit cell a=9.500 b=9.500 c=9.500 alpha=110.93 beta=110.93 gamma=110.93
Last column: magnetic moment on the atom in μB.
Sites, in units of the cell vectors:
Sm 0.372 0.056 0.581  -0.01
Sm 0.056 0.581 0.372  -0.01
Sm 0.581 0.372 0.056  -0.01
Sm 0.628 0.944 0.419  -0.01
Sm 0.944 0.419 0.628  -0.01
Sm 0.419 0.628 0.944  -0.01
Sm 0.104 0.156 0.739  0.02
Sm 0.261 0.896 0.844  0.02
Sm 0.844 0.261 0.896  0.02
Sm 0.896 0.844 0.261  0.02
Sm 0.739 0.104 0.156  0.02
Sm 0.156 0.739 0.104  0.02
Dy 0.211 0.315 0.470  0.04
Dy 0.685 0.530 0.789  0.04
Dy 0.530 0.789 0.685  0.04
Dy 0.789 0.685 0.530  0.04
Dy 0.315 0.470 0.211  0.04
Dy 0.470 0.211 0.315  0.04
Pu 0.000 0.000 0.000  5.61

***

[3]
Crystalline SmDy2Pu at its relaxed geometry. Source: the Alexandria database, functional PBE-GGA.

Values from the calculation:
Calculated total energy = -27.84 eV for the cell shown
Crystal system = trigonal
E above lowest polymorph = 3 meV/atom

Unit cell a=3.548 b=3.548 c=11.617 alpha=81.22 beta=81.22 gamma=60.00
Last column: magnetic moment on the atom in μB.
Sites, in units of the cell vectors:
Sm 0.500 0.500 0.499  -0.04
Dy 0.081 0.081 0.756  0.03
Dy 0.252 0.252 0.244  0.09
Pu 0.666 0.666 0.001  5.56

***

[4]
Crystalline Sm3Dy8Pu at its relaxed geometry. Source: the Alexandria database, functional PBE-GGA.

Values from the calculation:
Calculated total energy = -58.41 eV for the cell shown
Crystal system = tetragonal

Unit cell a=8.350 b=8.350 c=8.350 alpha=94.33 beta=117.53 gamma=117.53
Last column: magnetic moment on the atom in μB.
Sites, in units of the cell vectors:
Sm 0.500 0.750 0.250  -0.26
Sm 0.500 0.250 0.750  -0.26
Sm 0.000 0.500 0.500  -0.15
Dy 0.461 0.199 0.199  0.06
Dy 0.539 0.738 0.738  0.06
Dy 0.000 0.801 0.262  0.06
Dy 0.000 0.262 0.801  0.06
Dy 0.252 0.359 0.359  -0.05
Dy 0.748 0.107 0.107  -0.05
Dy 0.000 0.641 0.893  -0.05
Dy 0.000 0.893 0.641  -0.05
Pu 0.000 0.000 0.000  5.54

***

[5]
Crystalline SmDy2Pu at its relaxed geometry. Source: the Alexandria database, functional PBE-GGA.

Values from the calculation:
Calculated total energy = -27.42 eV for the cell shown
Crystal system = cubic
E above lowest polymorph = 109 meV/atom

Unit cell a=5.616 b=5.616 c=5.616 alpha=60.00 beta=60.00 gamma=60.00
Last column: magnetic moment on the atom in μB.
Sites, in units of the cell vectors:
Dy 0.250 0.250 0.250  0.24
Dy 0.750 0.750 0.750  0.24
Sm 0.500 0.500 0.500  0.12
Pu 0.000 0.000 0.000  5.58

***

[6]
Crystalline Sm4Dy6Pu at its relaxed geometry. Source: the Alexandria database, functional PBE-GGA.

Values from the calculation:
Calculated total energy = -113.82 eV for the cell shown
Crystal system = trigonal

Unit cell a=9.028 b=9.028 c=9.028 alpha=95.77 beta=95.77 gamma=84.23
Last column: magnetic moment on the atom in μB.
Sites, in units of the cell vectors:
Sm 0.343 0.157 0.250  -0.03
Sm 0.843 0.250 0.343  -0.03
Sm 0.250 0.657 0.157  -0.03
Sm 0.250 0.250 0.750  -0.06
Sm 0.750 0.750 0.250  -0.06
Sm 0.750 0.343 0.843  -0.03
Sm 0.157 0.750 0.657  -0.03
Sm 0.657 0.843 0.750  -0.03
Dy 0.663 0.069 0.054  0.06
Dy 0.054 0.337 0.069  0.06
Dy 0.554 0.431 0.163  0.06
Dy 0.931 0.054 0.663  0.06
Dy 0.569 0.163 0.554  0.06
Dy 0.163 0.446 0.431  0.06
Dy 0.837 0.554 0.569  0.06
Dy 0.431 0.837 0.446  0.06
Dy 0.069 0.946 0.337  0.06
Dy 0.446 0.569 0.837  0.06
Dy 0.946 0.663 0.931  0.06
Dy 0.337 0.931 0.946  0.06
Pu 0.500 0.500 0.500  5.50
Pu 0.000 0.000 0.000  5.50

***

These records have ΔE_f values of 0.6, 0.7, 0.4, 6.9, 0.8, 3.9 eV per formula unit, in the order they appear.